1.
! KSi2Te4, optimized geometry, DFT PBE; values from VASP
&SYSTEM
  ibrav = 0, nat = 14, ntyp = 3
/
ATOMIC_SPECIES
K 39.10 K.upf
Si 28.09 Si.upf
Te 127.60 Te.upf
ATOMIC_POSITIONS crystal
K 0.000 0.000 0.000
K 0.860 0.140 0.500
Si 0.375 0.341 0.902
Si 0.390 0.421 0.288
Si 0.579 0.610 0.712
Si 0.659 0.625 0.098
Te 0.009 0.837 0.316
Te 0.163 0.991 0.684
Te 0.190 0.451 0.050
Te 0.305 0.334 0.509
Te 0.458 0.198 0.113
Te 0.549 0.810 0.950
Te 0.666 0.695 0.491
Te 0.802 0.542 0.887
CELL_PARAMETERS angstrom
5.373 -7.414 0.000
5.373 7.414 0.000
-4.630 0.000 7.700
! space group = C2, No. 5
! total energy = -51.3 eV per cell


2.
! KSi2Te, optimized geometry, DFT PBE; values from VASP
&SYSTEM
  ibrav = 0, nat = 8, ntyp = 3
/
ATOMIC_SPECIES
K 39.10 K.upf
Si 28.09 Si.upf
Te 127.60 Te.upf
ATOMIC_POSITIONS crystal
K 0.000 0.000 0.000
K 0.500 0.500 0.000
Si 0.296 0.500 0.335
Si 0.448 0.000 0.525
Si 0.796 0.000 0.335
Si 0.948 0.500 0.525
Te 0.203 0.000 0.583
Te 0.703 0.500 0.583
CELL_PARAMETERS angstrom
10.663 0.000 0.000
0.000 3.684 0.000
-2.756 0.000 6.018
! space group = Cm, No. 8
! total energy = -29.1 eV per cell
! DOS at the Fermi energy = 5.0 states/eV/cell


3.
! K2SiTe5, optimized geometry, DFT PBE; values from VASP
&SYSTEM
  ibrav = 0, nat = 16, ntyp = 3
/
ATOMIC_SPECIES
K 39.10 K.upf
Si 28.09 Si.upf
Te 127.60 Te.upf
ATOMIC_POSITIONS crystal
K 0.000 0.000 0.000
K 0.000 0.000 0.499
K 0.500 0.500 0.500
K 0.500 0.500 0.999
Si 0.000 0.500 0.273
Si 0.500 0.000 0.773
Te 0.000 0.500 0.444
Te 0.240 0.260 0.699
Te 0.240 0.740 0.699
Te 0.260 0.240 0.199
Te 0.260 0.760 0.199
Te 0.500 0.000 0.944
Te 0.740 0.240 0.199
Te 0.740 0.760 0.199
Te 0.760 0.260 0.699
Te 0.760 0.740 0.699
CELL_PARAMETERS angstrom
6.715 0.000 0.000
0.000 6.730 0.000
0.000 0.000 14.537
! distance to the lowest polymorph of the same formula = 0.0 meV/atom
! space group = Imm2, No. 44
! DOS at the Fermi energy = 2.4 states/eV/cell


4.
! KSiTe3, optimized geometry, DFT PBE; values from VASP
&SYSTEM
  ibrav = 0, nat = 20, ntyp = 3
/
ATOMIC_SPECIES
K 39.10 K.upf
Si 28.09 Si.upf
Te 127.60 Te.upf
ATOMIC_POSITIONS crystal
K 0.044 0.956 0.750
K 0.396 0.604 0.250
K 0.604 0.396 0.750
K 0.956 0.044 0.250
Si 0.076 0.335 0.684
Si 0.335 0.076 0.184
Si 0.665 0.924 0.816
Si 0.924 0.665 0.316
Te 0.134 0.545 0.615
Te 0.167 0.828 0.447
Te 0.172 0.833 0.053
Te 0.292 0.321 0.866
Te 0.321 0.292 0.366
Te 0.455 0.866 0.885
Te 0.545 0.134 0.115
Te 0.679 0.708 0.634
Te 0.708 0.679 0.134
Te 0.828 0.167 0.947
Te 0.833 0.172 0.553
Te 0.866 0.455 0.385
CELL_PARAMETERS angstrom
6.611 -6.892 0.000
6.611 6.892 0.000
-5.649 0.000 9.836
! space group = C2/c, No. 15
! total energy = -69.4 eV per cell


5.
! KSiTe3, optimized geometry, DFT PBE; values from VASP
&SYSTEM
  ibrav = 0, nat = 5, ntyp = 3
/
ATOMIC_SPECIES
K 39.10 K.upf
Si 28.09 Si.upf
Te 127.60 Te.upf
ATOMIC_POSITIONS crystal
K 0.000 0.000 0.000
Si 0.500 0.500 0.500
Te 0.000 0.000 0.500
Te 0.000 0.500 0.000
Te 0.500 0.000 0.000
CELL_PARAMETERS angstrom
5.937 0.000 0.000
0.000 5.937 0.000
0.000 0.000 5.937
! space group = Pm-3m, No. 221
! total energy = -9.6 eV per cell
! DOS at the Fermi energy = 7.1 states/eV/cell


6.
! KSi2Te, optimized geometry, DFT PBE; values from VASP
&SYSTEM
  ibrav = 0, nat = 4, ntyp = 3
/
ATOMIC_SPECIES
K 39.10 K.upf
Si 28.09 Si.upf
Te 127.60 Te.upf
ATOMIC_POSITIONS crystal
K 0.000 0.000 0.000
Si 0.261 0.500 0.614
Si 0.739 0.500 0.386
Te 0.500 0.000 0.500
CELL_PARAMETERS angstrom
4.047 0.000 0.000
0.000 5.156 0.000
-0.395 0.000 5.879
! space group = P2/m, No. 10
! total energy = -14.8 eV per cell
! DOS at the Fermi energy = 2.1 states/eV/cell